# 1
First-principles (PBE-GGA) data for an optimized crystal structure of TbSiNi3, as listed in Alexandria.

Output
The energy relative to the elements, uncorrected is -425 meV per atom. The calculation puts the volume at 15.3 Å³/atom. The polymorph energy (0 for the lowest one) is 0 meV per atom.

```
TbSiNi3
1.0
5.684 0.000 0.000
-2.842 4.922 0.000
0.000 0.000 10.949
Tb Si Ni
4 4 12
direct
0.333 0.667 0.250
0.667 0.333 0.750
0.000 0.000 0.500
0.000 0.000 0.000
0.667 0.333 0.139
0.333 0.667 0.639
0.333 0.667 0.861
0.667 0.333 0.361
0.138 0.277 0.750
0.277 0.138 0.250
0.862 0.138 0.250
0.138 0.862 0.750
0.723 0.862 0.750
0.862 0.723 0.250
0.500 0.500 0.500
0.500 0.000 0.000
0.500 0.500 0.000
0.500 0.000 0.500
0.000 0.500 0.500
0.000 0.500 0.000
```

=====

# 2
First-principles (PBE-GGA) data for an optimized crystal structure of Zn2BiSe2, as listed in Alexandria.

Output
The energy relative to the elements, uncorrected is -16 meV per atom. The calculation puts the volume at 22.3 Å³/atom. The polymorph energy (0 for the lowest one) is 97 meV per atom.

```
Zn2BiSe2
1.0
-3.627 -2.710 2.415
-1.877 -1.522 -4.527
-0.191 -5.482 -0.986
Zn Bi Se
2 1 2
direct
0.358 0.358 0.285
0.642 0.642 0.715
0.000 0.000 0.000
0.750 0.250 0.500
0.250 0.750 0.500
```

=====

# 3
First-principles (PBE-GGA) data for an optimized crystal structure of Pu7SiI12, as listed in Alexandria.

Output
The energy relative to the elements, uncorrected is -972 meV per atom. The calculation puts the volume at 39.8 Å³/atom.

```
Pu7SiI12
1.0
-6.690 -4.759 5.511
2.618 -6.066 -7.357
7.997 1.424 5.639
Pu Si I
7 1 12
direct
0.969 0.681 0.896
0.319 0.104 0.031
0.104 0.031 0.319
0.500 0.500 0.500
0.896 0.969 0.681
0.681 0.896 0.969
0.031 0.319 0.104
0.000 0.000 0.000
0.924 0.318 0.769
0.682 0.231 0.076
0.463 0.152 0.385
0.848 0.615 0.537
0.231 0.076 0.682
0.615 0.537 0.848
0.385 0.463 0.152
0.769 0.924 0.318
0.152 0.385 0.463
0.537 0.848 0.615
0.318 0.769 0.924
0.076 0.682 0.231
```

=====

# 4
First-principles (PBE-GGA) data for an optimized crystal structure of PmOsPbO6, as listed in Alexandria.

Output
The energy relative to the elements, uncorrected is -1610 meV per atom. The calculation puts the volume at 14.7 Å³/atom.

```
PmOsPbO6
1.0
7.299 0.000 0.000
0.000 7.284 0.000
-3.649 -3.642 4.962
Pm Os Pb O
2 2 2 12
direct
0.500 0.000 0.500
0.000 0.000 0.500
0.500 0.500 0.000
0.500 0.000 0.000
0.878 0.628 0.755
0.122 0.372 0.245
0.580 0.830 0.160
0.893 0.143 0.786
0.809 0.175 0.253
0.444 0.578 0.253
0.444 0.175 0.253
0.809 0.578 0.253
0.420 0.170 0.840
0.107 0.857 0.214
0.191 0.825 0.747
0.556 0.422 0.747
0.556 0.825 0.747
0.191 0.422 0.747
```

=====

# 5
First-principles (PBE-GGA) data for an optimized crystal structure of Na5Ga2Bi5, as listed in Alexandria.

Output
The calculation puts the volume at 31.1 Å³/atom. The formation energy comes out at -1.950 eV/f.u.

```
Na5Ga2Bi5
1.0
5.307 0.000 0.000
-2.654 6.033 -0.037
0.000 -2.898 11.677
Na Ga Bi
5 2 5
direct
0.500 0.000 0.500
0.650 0.300 0.023
0.735 0.470 0.376
0.265 0.530 0.624
0.350 0.700 0.977
0.113 0.226 0.807
0.887 0.774 0.193
0.077 0.154 0.380
0.750 0.500 0.790
0.250 0.500 0.210
0.923 0.846 0.620
0.000 0.000 0.000
```

=====

# 6
First-principles (PBE-GGA) data for an optimized crystal structure of KMn2Ni, as listed in Alexandria.

Output
The calculation puts the volume at 17.4 Å³/atom. The polymorph energy (0 for the lowest one) is 225 meV per atom. The formation energy comes out at 3.168 eV/f.u.

```
KMn2Ni
1.0
-8.171 -1.074 5.553
-6.370 -2.603 7.170
-6.523 0.238 7.493
K Mn Ni
1 2 1
direct
0.756 0.756 0.756
0.984 0.984 0.984
0.245 0.245 0.245
0.514 0.514 0.514
```

=====

# 7
First-principles (PBE-GGA) data for an optimized crystal structure of ErNi3, as listed in Alexandria.

Output
The calculation puts the volume at 14.2 Å³/atom. The formation energy comes out at -1.772 eV/f.u.

```
ErNi3
1.0
-3.710 -5.958 4.941
0.909 -5.426 6.588
-2.565 -2.179 7.896
Er Ni
3 9
direct
0.000 0.000 0.000
0.861 0.861 0.861
0.139 0.139 0.139
0.500 0.500 0.500
0.667 0.667 0.667
0.333 0.333 0.333
0.417 0.919 0.417
0.417 0.417 0.919
0.919 0.417 0.417
0.583 0.081 0.583
0.583 0.583 0.081
0.081 0.583 0.583
```

=====

# 8
First-principles (PBE-GGA) data for an optimized crystal structure of ZnAsRh2, as listed in Alexandria.

Output
The calculation puts the volume at 15.3 Å³/atom. The polymorph energy (0 for the lowest one) is 105 meV per atom. The formation energy comes out at -0.947 eV/f.u.

```
ZnAsRh2
1.0
-4.436 -0.316 -0.961
0.646 -0.667 -2.764
0.392 -4.788 -0.233
As Rh Zn
1 2 1
direct
0.500 0.913 0.801
0.000 0.834 0.957
0.500 0.192 0.255
0.000 0.561 0.487
```

=====

# 9
First-principles (PBE-GGA) data for an optimized crystal structure of OsRh2Br, as listed in Alexandria.

Output
The energy relative to the elements, uncorrected is 471 meV per atom. The calculation puts the volume at 17.4 Å³/atom. The polymorph energy (0 for the lowest one) is 1 meV per atom.

```
OsRh2Br
1.0
3.564 0.000 0.000
0.000 2.815 -0.009
0.000 0.024 6.956
Rh Os Br
2 1 1
direct
0.000 0.250 0.942
0.000 0.250 0.558
0.500 0.750 0.750
0.500 0.250 0.250
```

=====

# 10
First-principles (PBE-GGA) data for an optimized crystal structure of LiZn2Sb, as listed in Alexandria.

Output
The energy relative to the elements, uncorrected is -128 meV per atom. The calculation puts the volume at 18.2 Å³/atom.

```
LiZn2Sb
1.0
-0.748 3.805 1.417
-1.539 -1.598 3.480
3.898 0.106 1.773
Li Sb Zn
1 1 2
direct
0.500 0.000 0.500
0.000 0.500 0.500
0.000 0.000 0.000
0.500 0.500 0.000
```

=====

# 11
First-principles (PBE-GGA) data for an optimized crystal structure of ZnReOs2, as listed in Alexandria.

Output
The calculation puts the volume at 14.4 Å³/atom. The formation energy comes out at 1.403 eV/f.u.

```
ZnReOs2
1.0
4.871 -0.005 0.000
1.977 4.452 0.000
-3.424 -2.224 2.657
Os Re Zn
2 1 1
direct
0.000 0.000 0.000
0.250 0.750 0.500
0.500 0.500 0.000
0.750 0.250 0.500
```

=====

# 12
First-principles (PBE-GGA) data for an optimized crystal structure of Ti2PIr2, as listed in Alexandria.

Output
The calculation puts the volume at 16.0 Å³/atom. The polymorph energy (0 for the lowest one) is 127 meV per atom. The formation energy comes out at -1.951 eV/f.u.

```
Ti2PIr2
1.0
-5.487 -4.545 1.968
3.779 -5.741 -2.720
1.270 -0.402 2.613
P Ir Ti
2 4 4
direct
0.000 0.000 0.000
0.500 0.500 0.000
0.133 0.633 0.500
0.633 0.867 0.500
0.867 0.367 0.500
0.367 0.133 0.500
0.337 0.837 0.000
0.837 0.663 0.000
0.663 0.163 0.000
0.163 0.337 0.000
```

=====

# 13
First-principles (PBE-GGA) data for an optimized crystal structure of V2Cu2As, as listed in Alexandria.

Output
The calculation puts the volume at 14.4 Å³/atom. The polymorph energy (0 for the lowest one) is 57 meV per atom. The formation energy comes out at 1.110 eV/f.u.

```
V2Cu2As
1.0
-0.500 -3.188 0.691
2.194 0.189 2.457
-3.981 0.164 5.758
As Cu V
1 2 2
direct
0.000 0.000 0.000
0.750 0.250 0.500
0.250 0.750 0.500
0.409 0.409 0.182
0.591 0.591 0.818
```

=====

# 14
First-principles (PBE-GGA) data for an optimized crystal structure of CaLuMgPd, as listed in Alexandria.

Output
The calculation puts the volume at 23.7 Å³/atom. The formation energy comes out at -1.318 eV/f.u.

```
CaLuMgPd
1.0
-1.476 3.265 3.650
-2.686 -1.692 4.010
2.164 -0.192 4.630
Ca Lu Mg Pd
1 1 1 1
direct
0.000 0.000 0.000
0.500 0.500 0.500
0.250 0.250 0.250
0.750 0.750 0.750
```

=====

# 15
First-principles (PBE-GGA) data for an optimized crystal structure of ScCu2Tc, as listed in Alexandria.

Output
The calculation puts the volume at 14.7 Å³/atom. The polymorph energy (0 for the lowest one) is 66 meV per atom. The formation energy comes out at 0.143 eV/f.u.

```
ScCu2Tc
1.0
-1.091 -3.213 -3.269
3.210 -3.439 0.262
-2.650 1.983 3.354
Cu Sc Tc
2 1 1
direct
0.000 0.000 0.000
0.500 0.500 0.000
0.250 0.750 0.500
0.750 0.250 0.500
```

=====

# 16
First-principles (PBE-GGA) data for an optimized crystal structure of Al3V4Cr, as listed in Alexandria.

Output
The calculation puts the volume at 13.8 Å³/atom. The polymorph energy (0 for the lowest one) is 0 meV per atom. The formation energy comes out at -1.085 eV/f.u.

```
Al3V4Cr
1.0
4.050 0.000 0.000
0.000 8.311 0.000
0.000 0.000 6.574
Cr Al V
2 6 8
direct
0.000 0.500 0.000
0.000 0.500 0.500
0.000 0.000 0.000
0.000 0.000 0.500
0.500 0.000 0.750
0.500 0.000 0.250
0.500 0.500 0.750
0.500 0.500 0.250
0.500 0.752 0.000
0.500 0.752 0.500
0.500 0.248 0.000
0.500 0.248 0.500
0.000 0.740 0.750
0.000 0.740 0.250
0.000 0.260 0.250
0.000 0.260 0.750
```

=====

# 17
First-principles (PBE-GGA) data for an optimized crystal structure of Ag5Pd12Pb2, as listed in Alexandria.

Output
The calculation puts the volume at 17.4 Å³/atom. The formation energy comes out at -1.127 eV/f.u.

```
Ag5Pd12Pb2
1.0
-5.164 5.186 -4.490
-1.843 -7.276 1.926
-2.196 2.227 5.098
Ag Pd Pb
5 12 2
direct
0.236 0.471 0.499
0.338 0.676 0.099
0.000 0.000 0.500
0.662 0.324 0.901
0.764 0.529 0.501
0.140 0.281 0.898
0.055 0.602 0.800
0.547 0.602 0.800
0.166 0.795 0.401
0.629 0.795 0.401
0.451 0.902 0.708
0.549 0.098 0.292
0.834 0.205 0.599
0.371 0.205 0.599
0.945 0.398 0.200
0.453 0.398 0.200
0.860 0.719 0.102
0.769 0.000 0.000
0.231 0.000 0.000
```

=====

# 18
First-principles (PBE-GGA) data for an optimized crystal structure of La4IrSeBr2, as listed in Alexandria.

Output
The energy relative to the elements, uncorrected is -1414 meV per atom. The calculation puts the volume at 29.9 Å³/atom.

```
La4IrSeBr2
1.0
4.170 0.000 0.000
0.000 7.709 0.225
0.000 -2.610 7.374
La Ir Se Br
4 1 1 2
direct
0.500 0.248 0.220
0.500 0.752 0.780
0.000 0.286 0.794
0.000 0.714 0.206
0.500 0.500 0.000
0.000 0.000 0.000
0.500 0.000 0.500
0.000 0.500 0.500
```

=====

# 19
First-principles (PBE-GGA) data for an optimized crystal structure of TlIClO2, as listed in Alexandria.

Output
The energy relative to the elements, uncorrected is 718 meV per atom. The calculation puts the volume at 20.7 Å³/atom. The polymorph energy (0 for the lowest one) is 460 meV per atom.

```
TlIClO2
1.0
-3.105 3.114 0.373
-0.843 -1.334 4.122
3.633 3.401 1.844
I Tl O Cl
1 1 2 1
direct
0.000 0.000 0.500
0.500 0.500 0.500
0.000 0.500 0.000
0.500 0.000 0.000
0.000 0.000 0.000
```

=====

# 20
First-principles (PBE-GGA) data for an optimized crystal structure of NpRh3O8, as listed in Alexandria.

Output
The energy relative to the elements, uncorrected is -1302 meV per atom. The calculation puts the volume at 13.7 Å³/atom.

```
NpRh3O8
1.0
6.280 0.000 0.000
-3.140 4.464 -3.106
0.000 -0.220 6.036
Np Rh O
1 3 8
direct
0.000 0.000 0.000
0.500 0.000 0.000
0.500 0.500 0.000
0.000 0.500 0.000
0.269 0.539 0.808
0.731 0.461 0.192
0.270 0.030 0.790
0.760 0.030 0.790
0.760 0.520 0.790
0.240 0.480 0.210
0.240 0.970 0.210
0.730 0.970 0.210
```

=====

# 21
First-principles (PBE-GGA) data for an optimized crystal structure of La3Ce2Tc2, as listed in Alexandria.

Output
The calculation puts the volume at 29.2 Å³/atom. The formation energy comes out at -0.457 eV/f.u.

```
La3Ce2Tc2
1.0
-2.030 2.558 2.188
-0.608 -2.588 5.985
7.295 1.791 4.683
La Ce Tc
3 2 2
direct
0.500 0.000 0.000
0.625 0.752 0.423
0.375 0.248 0.577
0.817 0.365 0.188
0.183 0.635 0.812
0.801 0.397 0.803
0.199 0.603 0.197
```

=====

# 22
First-principles (PBE-GGA) data for an optimized crystal structure of Li2Dy, as listed in Alexandria.

Output
The calculation puts the volume at 23.3 Å³/atom. The polymorph energy (0 for the lowest one) is 0 meV per atom. The formation energy comes out at 0.356 eV/f.u.

```
Li2Dy
1.0
-1.578 4.411 3.468
-2.796 -1.080 4.999
2.714 0.818 5.093
Li Dy
4 2
direct
0.125 0.625 0.625
0.625 0.125 0.625
0.625 0.625 0.625
0.625 0.625 0.125
0.000 0.000 0.000
0.250 0.250 0.250
```

=====

# 23
First-principles (PBE-GGA) data for an optimized crystal structure of SrZn2IrPb, as listed in Alexandria.

Output
The calculation puts the volume at 25.6 Å³/atom. The formation energy comes out at -0.709 eV/f.u.

```
SrZn2IrPb
1.0
4.939 0.000 0.000
0.000 4.939 0.000
0.000 0.000 5.239
Pb Sr Zn Ir
1 1 2 1
direct
0.000 0.000 0.500
0.500 0.500 0.500
0.000 0.500 0.000
0.500 0.000 0.000
0.000 0.000 0.000
```